## ZrScIn2 (GGA-PBEsol)

Data for crystalline ZrScIn2 at its relaxed geometry.

```
4
Lattice="3.1611 0.0000 0.0143 0.0000 5.1523 0.0000 -0.0191 0.0000 5.2494" Properties=species:S:1:pos:R:3 pbc="T T T"
Sc 1.1735 0.0000 2.2763
Zr 1.1736 2.5762 4.2944
In 2.7473 0.0000 4.9002
In 2.7605 2.5762 1.6881
```

The value obtained for the energy above the most stable polymorph in this dataset is 0.0633 eV per atom. Its formation energy is -0.370 eV per atom.